Cs2Ho2MnS6: optimized geometry, PBE.

a = 6.648 Å, b = 6.648 Å, c = 8.538 Å
α = 98.16°, β = 98.16°, γ = 119.37°
Last column: magnetic moment on the atom in μB.
Fractional positions:
Cs1 0.172 0.828 0.000  0.00
S1 0.638 0.937 0.328  -0.03
S2 0.937 0.638 0.328  -0.03
S3 0.763 0.763 0.669  -0.03
Mn1 0.000 0.000 0.500  3.06
Ho1 0.667 0.333 0.500  0.03
Cs2 0.828 0.172 0.000  0.00
S4 0.237 0.237 0.331  -0.03
S5 0.362 0.063 0.672  -0.03
Ho2 0.333 0.667 0.500  0.03
S6 0.063 0.362 0.672  -0.03

CsHoMn2Se4: optimized geometry, PBE.

a = 6.804 Å, b = 7.319 Å, c = 7.319 Å
α = 73.93°, β = 62.30°, γ = 62.30°
Last column: magnetic moment on the atom in μB.
Fractional positions:
Se1 0.921 0.490 0.167  0.01
Cs1 0.000 0.000 0.000  0.00
Se2 0.079 0.833 0.510  0.01
Mn1 0.102 0.398 0.398  1.73
Mn2 0.898 0.602 0.602  1.73
Se3 0.578 0.510 0.833  0.01
Se4 0.422 0.167 0.490  0.01
Ho1 0.500 0.500 0.500  0.04

CsHoMnSe4: optimized geometry, PBE.

a = 6.684 Å, b = 6.762 Å, c = 9.949 Å
α = 90.00°, β = 108.85°, γ = 90.00°
Last column: magnetic moment on the atom in μB.
Fractional positions:
Se1 0.979 0.008 0.304  -0.06
Ho1 0.231 0.250 0.547  0.07
Se2 0.021 0.508 0.696  -0.06
Mn1 0.222 0.750 0.336  2.86
Ho2 0.769 0.750 0.453  0.07
Se3 0.021 0.992 0.696  -0.06
Se4 0.577 0.250 0.429  -0.04
Se5 0.423 0.750 0.571  -0.04
Se6 0.573 0.250 0.812  -0.01
Cs1 0.747 0.750 0.942  0.00
Mn2 0.778 0.250 0.664  2.86
Cs2 0.253 0.250 0.058  0.00
Se7 0.427 0.750 0.188  -0.01
Se8 0.979 0.492 0.304  -0.06

CsHo2MnSe4: optimized geometry, PBE.

a = 4.173 Å, b = 7.653 Å, c = 14.501 Å
α = 90.00°, β = 90.00°, γ = 105.82°
Last column: magnetic moment on the atom in μB.
Fractional positions:
Ho1 0.631 0.262 0.060  -0.07
Se1 0.423 0.846 0.750  0.04
Mn1 0.170 0.341 0.250  3.74
Ho2 0.631 0.262 0.440  -0.07
Ho3 0.369 0.738 0.560  -0.07
Cs1 0.107 0.214 0.750  0.01
Ho4 0.369 0.738 0.940  -0.07
Se2 0.258 0.515 0.104  0.04
Se3 0.258 0.515 0.396  0.04
Se4 0.577 0.154 0.250  0.04
Se5 0.000 0.000 0.000  0.01
Mn2 0.830 0.659 0.750  3.74
Se6 0.000 0.000 0.500  0.01
Cs2 0.893 0.786 0.250  0.01
Se7 0.742 0.485 0.896  0.04
Se8 0.742 0.485 0.604  0.04

CsHoMn2Te4: optimized geometry, PBE.

a = 7.171 Å, b = 7.760 Å, c = 7.760 Å
α = 75.35°, β = 62.48°, γ = 62.48°
Last column: magnetic moment on the atom in μB.
Fractional positions:
Te1 0.922 0.499 0.159  0.00
Mn1 0.903 0.597 0.597  1.79
Te2 0.078 0.841 0.501  0.00
Te3 0.420 0.159 0.499  0.00
Mn2 0.097 0.403 0.403  1.79
Te4 0.580 0.501 0.841  0.00
Ho1 0.500 0.500 0.500  0.03
Cs1 0.000 0.000 0.000  0.00

Uncorrected energy per entry: -5.50; -5.34; -5.16; -5.56; -4.86 eV per atom